No. 1
Density functional theory data (PBE) for an optimized crystal structure of Li2CrTeAs.

Cell lengths 4.7717, 4.7717, 4.7413 Å; angles 90.00, 90.00, 90.00 degrees
Fractional coordinates of all 5 atoms:
Li 0.0000 0.5000 0.0000
Li 0.5000 0.0000 0.0000
Cr 0.0000 0.0000 0.5000
Te 0.5000 0.5000 0.5000
As 0.0000 0.0000 0.0000

Properties
ΔE_f (raw), eV per formula unit: -1.08
DOS(E_F), states/eV per atom: 0.47
Calculated total energy, eV/cell: -22.3

=====

No. 2
Density functional theory data (PBE) for an optimized crystal structure of TlBiSe3.

Cell lengths 5.5656, 5.5656, 5.5656 Å; angles 90.00, 90.00, 90.00 degrees
Fractional coordinates of all 5 atoms:
Tl 0.0000 0.0000 0.0000
Bi 0.5000 0.5000 0.5000
Se 0.0000 0.5000 0.5000
Se 0.5000 0.0000 0.5000
Se 0.5000 0.5000 0.0000

Properties
ΔE_f (raw), eV per formula unit: 0.57
DOS(E_F), states/eV per atom: 1.68
Calculated total energy, eV/cell: -16.1
Excess energy over the best structure of this formula in the dataset, meV/atom: 260

=====

No. 3
Density functional theory data (PBE) for an optimized crystal structure of Mn5Hg.

Cell lengths 4.2753, 2.7606, 14.4625 Å; angles 90.00, 90.00, 90.00 degrees
Fractional coordinates of all 12 atoms:
Mn 0.0000 0.0000 0.0000
Mn 0.0000 0.0000 0.2941
Mn 0.0000 0.0000 0.6470
Mn 0.0000 0.5000 0.1470
Mn 0.0000 0.5000 0.5000
Mn 0.0000 0.5000 0.7941
Mn 0.5000 0.0000 0.1779
Mn 0.5000 0.0000 0.5397
Mn 0.5000 0.5000 0.0397
Mn 0.5000 0.5000 0.6779
Hg 0.5000 0.0000 0.8695
Hg 0.5000 0.5000 0.3695

Properties
DOS(E_F), states/eV per atom: 1.20
Formation energy from the elements, eV/atom: 0.331
Calculated total energy, eV/cell: -88.3

=====

No. 4
Density functional theory data (PBE) for an optimized crystal structure of Cs2ZrTaF6.

Cell lengths 6.4084, 6.4084, 6.4084 Å; angles 120.06, 120.06, 89.90 degrees
Fractional coordinates of all 10 atoms:
Cs 0.2500 0.7500 0.5000
Cs 0.7500 0.2500 0.5000
Zr 0.0000 0.0000 0.0000
Ta 0.5000 0.5000 0.0000
F 0.2574 0.2574 0.5149
F 0.2574 0.7426 0.0000
F 0.2577 0.2577 0.0000
F 0.7423 0.7423 0.0000
F 0.7426 0.2574 0.0000
F 0.7426 0.7426 0.4851

Properties
ΔE_f (raw), eV per formula unit: -22.59
DOS(E_F), states/eV per atom: 0.38
Calculated total energy, eV/cell: -55.9

=====

No. 5
Density functional theory data (PBE) for an optimized crystal structure of GaCo2Ni9.

Cell lengths 3.5384, 3.5384, 10.6434 Å; angles 90.00, 90.00, 90.00 degrees
Fractional coordinates of all 12 atoms:
Ga 0.0000 0.0000 0.0000
Co 0.0000 0.0000 0.3344
Co 0.0000 0.0000 0.6656
Ni 0.0000 0.5000 0.1725
Ni 0.0000 0.5000 0.5000
Ni 0.0000 0.5000 0.8275
Ni 0.5000 0.0000 0.1725
Ni 0.5000 0.0000 0.5000
Ni 0.5000 0.0000 0.8275
Ni 0.5000 0.5000 0.0000
Ni 0.5000 0.5000 0.3357
Ni 0.5000 0.5000 0.6643

Properties
DOS(E_F), states/eV per atom: 1.32
Formation energy from the elements, eV/atom: -0.084
Calculated total energy, eV/cell: -70.3

=====

No. 6
Density functional theory data (PBE) for an optimized crystal structure of CsB3O.

Cell lengths 4.3977, 4.3977, 4.3977 Å; angles 90.00, 90.00, 90.00 degrees
Fractional coordinates of all 5 atoms:
Cs 0.0000 0.0000 0.0000
B 0.0000 0.5000 0.5000
B 0.5000 0.0000 0.5000
B 0.5000 0.5000 0.0000
O 0.5000 0.5000 0.5000

Properties
ΔE_f (raw), eV per formula unit: 11.83
DOS(E_F), states/eV per atom: 0.84
Calculated total energy, eV/cell: -14.0
Excess energy over the best structure of this formula in the dataset, meV/atom: 0

=====

No. 7
Density functional theory data (PBE) for an optimized crystal structure of PmDy7Sc3.

Cell lengths 9.6387, 9.6387, 10.9934 Å; angles 90.27, 90.27, 139.30 degrees
Fractional coordinates of all 22 atoms:
Pm 0.0000 0.0000 0.0000
Pm 0.5000 0.5000 0.5000
Dy 0.0861 0.4123 0.5369
Dy 0.0893 0.4155 0.9624
Dy 0.1632 0.3463 0.2495
Dy 0.2438 0.2438 0.7492
Dy 0.3463 0.1632 0.2495
Dy 0.4123 0.0861 0.5369
Dy 0.4155 0.0893 0.9624
Dy 0.5845 0.9107 0.0376
Dy 0.5877 0.9139 0.4631
Dy 0.6537 0.8368 0.7505
Dy 0.7562 0.7562 0.2508
Dy 0.8368 0.6537 0.7505
Dy 0.9107 0.5845 0.0376
Dy 0.9139 0.5877 0.4631
Sc 0.0000 0.0000 0.5000
Sc 0.2477 0.7504 0.7497
Sc 0.2496 0.7523 0.2503
Sc 0.5000 0.5000 0.0000
Sc 0.7504 0.2477 0.7497
Sc 0.7523 0.2496 0.2503

Properties
DOS(E_F), states/eV per atom: 1.57
Formation energy from the elements, eV/atom: 0.157
Calculated total energy, eV/cell: -108.5
Excess energy over the best structure of this formula in the dataset, meV/atom: 0

=====

No. 8
Density functional theory data (PBE) for an optimized crystal structure of PSe3.

Cell lengths 6.7148, 6.7148, 6.7148 Å; angles 90.00, 90.00, 90.00 degrees
Fractional coordinates of all 16 atoms:
P 0.0000 0.0000 0.0000
P 0.0000 0.5000 0.5000
P 0.5000 0.0000 0.5000
P 0.5000 0.5000 0.0000
Se 0.0000 0.0000 0.5000
Se 0.0000 0.5000 0.0000
Se 0.2500 0.2500 0.2500
Se 0.2500 0.2500 0.7500
Se 0.2500 0.7500 0.2500
Se 0.2500 0.7500 0.7500
Se 0.5000 0.0000 0.0000
Se 0.5000 0.5000 0.5000
Se 0.7500 0.2500 0.2500
Se 0.7500 0.2500 0.7500
Se 0.7500 0.7500 0.2500
Se 0.7500 0.7500 0.7500

Properties
ΔE_f (raw), eV per formula unit: 2.85
DOS(E_F), states/eV per atom: 1.26
Calculated total energy, eV/cell: -52.0
Excess energy over the best structure of this formula in the dataset, meV/atom: 486

=====

No. 9
Density functional theory data (PBE) for an optimized crystal structure of MnPb2Br.

Cell lengths 8.1706, 8.1515, 3.3731 Å; angles 90.00, 104.74, 90.00 degrees
Fractional coordinates of all 8 atoms:
Mn 0.0000 0.0000 0.0000
Mn 0.5000 0.5000 0.0000
Pb 0.2500 0.2500 0.5000
Pb 0.2500 0.7500 0.5000
Pb 0.7500 0.2500 0.5000
Pb 0.7500 0.7500 0.5000
Br 0.0000 0.5000 0.0000
Br 0.5000 0.0000 0.0000

Properties
ΔE_f (raw), eV per formula unit: 0.67
DOS(E_F), states/eV per atom: 0.50
Calculated total energy, eV/cell: -35.2
Excess energy over the best structure of this formula in the dataset, meV/atom: 140

=====

No. 10
Density functional theory data (PBE) for an optimized crystal structure of Mg2Sb2Cl.

Cell lengths 5.4000, 5.4000, 9.7103 Å; angles 90.00, 90.00, 90.00 degrees
Fractional coordinates of all 10 atoms:
Mg 0.0000 0.5000 0.2500
Mg 0.0000 0.5000 0.7500
Mg 0.5000 0.0000 0.2500
Mg 0.5000 0.0000 0.7500
Sb 0.0000 0.0000 0.1411
Sb 0.0000 0.0000 0.8589
Sb 0.5000 0.5000 0.3589
Sb 0.5000 0.5000 0.6411
Cl 0.0000 0.0000 0.5000
Cl 0.5000 0.5000 0.0000

Properties
ΔE_f (raw), eV per formula unit: -1.84
DOS(E_F), states/eV per atom: 0.64
Calculated total energy, eV/cell: -30.3
Excess energy over the best structure of this formula in the dataset, meV/atom: 0

=====

No. 11
Density functional theory data (PBE) for an optimized crystal structure of HfScMn2.

Cell lengths 7.0338, 7.0338, 5.7397 Å; angles 90.00, 90.00, 90.00 degrees
Fractional coordinates of all 16 atoms:
Hf 0.0000 0.0000 0.0000
Hf 0.0000 0.5000 0.2500
Hf 0.5000 0.0000 0.7500
Hf 0.5000 0.5000 0.5000
Sc 0.0000 0.0000 0.5000
Sc 0.0000 0.5000 0.7500
Sc 0.5000 0.0000 0.2500
Sc 0.5000 0.5000 0.0000
Mn 0.2502 0.2500 0.1250
Mn 0.2498 0.2500 0.6250
Mn 0.2500 0.7502 0.3750
Mn 0.2500 0.7498 0.8750
Mn 0.7500 0.2498 0.3750
Mn 0.7500 0.2502 0.8750
Mn 0.7498 0.7500 0.1250
Mn 0.7502 0.7500 0.6250

Properties
DOS(E_F), states/eV per atom: 0.96
Formation energy from the elements, eV/atom: 0.468
Calculated total energy, eV/cell: -131.0

=====

No. 12
Density functional theory data (PBE) for an optimized crystal structure of Cs2IN2.

Cell lengths 8.9387, 5.2100, 9.3782 Å; angles 90.00, 112.23, 90.00 degrees
Fractional coordinates of all 10 atoms:
Cs 0.2271 0.0000 0.2229
Cs 0.2729 0.5000 0.7771
Cs 0.7271 0.5000 0.2229
Cs 0.7729 0.0000 0.7771
I 0.0000 0.0000 0.5000
I 0.5000 0.5000 0.5000
N 0.0435 0.5000 0.9660
N 0.4565 0.0000 0.0340
N 0.5435 0.0000 0.9660
N 0.9565 0.5000 0.0340

Properties
ΔE_f (raw), eV per formula unit: -3.45
DOS(E_F), states/eV per atom: 0.50
Calculated total energy, eV/cell: -46.7
Excess energy over the best structure of this formula in the dataset, meV/atom: 0

=====

No. 13
Density functional theory data (PBE) for an optimized crystal structure of HfV2Si.

Cell lengths 3.1491, 3.1491, 23.0552 Å; angles 90.00, 90.00, 120.00 degrees
Fractional coordinates of all 12 atoms:
Hf 0.0000 0.0000 0.0000
Hf 0.3333 0.6667 0.6667
Hf 0.6667 0.3333 0.3333
V 0.0000 0.0000 0.2366
V 0.0000 0.0000 0.7634
V 0.3333 0.6667 0.4301
V 0.3333 0.6667 0.9033
V 0.6667 0.3333 0.0967
V 0.6667 0.3333 0.5699
Si 0.0000 0.0000 0.5000
Si 0.3333 0.6667 0.1667
Si 0.6667 0.3333 0.8333

Properties
ΔE_f (raw), eV per formula unit: 0.62
DOS(E_F), states/eV per atom: 1.08
Calculated total energy, eV/cell: -99.0

=====

No. 14
Density functional theory data (PBE) for an optimized crystal structure of Cs3B12H12I.

Cell lengths 7.4415, 7.4415, 7.4415 Å; angles 93.17, 93.17, 93.17 degrees
Fractional coordinates of all 28 atoms:
Cs 0.0000 0.5000 0.5000
Cs 0.5000 0.0000 0.5000
Cs 0.5000 0.5000 0.0000
B 0.0560 0.0560 0.2206
B 0.0560 0.2206 0.0560
B 0.1150 0.1150 0.8486
B 0.1150 0.8486 0.1150
B 0.1514 0.8850 0.8850
B 0.2206 0.0560 0.0560
B 0.7794 0.9440 0.9440
B 0.8486 0.1150 0.1150
B 0.8850 0.1514 0.8850
B 0.8850 0.8850 0.1514
B 0.9440 0.7794 0.9440
B 0.9440 0.9440 0.7794
H 0.0952 0.0953 0.3777
H 0.0952 0.3777 0.0952
H 0.1976 0.1976 0.7411
H 0.1976 0.7411 0.1976
H 0.2589 0.8024 0.8024
H 0.3777 0.0952 0.0952
H 0.6223 0.9048 0.9048
H 0.7411 0.1976 0.1976
H 0.8024 0.2589 0.8024
H 0.8024 0.8024 0.2589
H 0.9048 0.6223 0.9048
H 0.9048 0.9048 0.6223
I 0.5000 0.5000 0.5000

Properties
DOS(E_F), states/eV per atom: 0.00
Calculated total energy, eV/cell: -138.1

=====

No. 15
Density functional theory data (PBE) for an optimized crystal structure of Mn4TePt.

Cell lengths 4.9707, 4.9707, 4.9707 Å; angles 60.00, 60.00, 60.00 degrees
Fractional coordinates of all 6 atoms:
Mn 0.1249 0.1249 0.1249
Mn 0.1249 0.1249 0.6253
Mn 0.1249 0.6253 0.1249
Mn 0.6253 0.1249 0.1249
Te 0.5000 0.5000 0.5000
Pt 0.7500 0.7500 0.7500

Properties
ΔE_f (raw), eV per formula unit: 1.96
DOS(E_F), states/eV per atom: 1.24
Calculated total energy, eV/cell: -43.9

=====

No. 16
Density functional theory data (PBE) for an optimized crystal structure of Sr2TaCr.

Cell lengths 7.5121, 7.5121, 7.5121 Å; angles 90.00, 90.00, 90.00 degrees
Fractional coordinates of all 16 atoms:
Sr 0.2500 0.2500 0.2500
Sr 0.2500 0.2500 0.7500
Sr 0.2500 0.7500 0.2500
Sr 0.2500 0.7500 0.7500
Sr 0.7500 0.2500 0.2500
Sr 0.7500 0.2500 0.7500
Sr 0.7500 0.7500 0.2500
Sr 0.7500 0.7500 0.7500
Ta 0.0000 0.0000 0.0000
Ta 0.0000 0.5000 0.5000
Ta 0.5000 0.0000 0.5000
Ta 0.5000 0.5000 0.0000
Cr 0.0000 0.0000 0.5000
Cr 0.0000 0.5000 0.0000
Cr 0.5000 0.0000 0.0000
Cr 0.5000 0.5000 0.5000

Properties
DOS(E_F), states/eV per atom: 2.71
Formation energy from the elements, eV/atom: 1.786
Calculated total energy, eV/cell: -70.8
Excess energy over the best structure of this formula in the dataset, meV/atom: 1203

=====

No. 17
Density functional theory data (PBE) for an optimized crystal structure of Tb6Ce2NdTm3.

Cell lengths 6.1375, 6.1375, 11.7513 Å; angles 94.99, 94.99, 120.02 degrees
Fractional coordinates of all 12 atoms:
Tb 0.0794 0.4156 0.2481
Tb 0.2483 0.2483 0.7519
Tb 0.4156 0.0794 0.2481
Tb 0.5844 0.9206 0.7519
Tb 0.7517 0.7517 0.2481
Tb 0.9206 0.5844 0.7519
Ce 0.1668 0.8332 0.5000
Ce 0.8332 0.1668 0.5000
Nd 0.5000 0.5000 0.5000
Tm 0.0000 0.0000 0.0000
Tm 0.3336 0.6664 0.0000
Tm 0.6664 0.3336 0.0000

Properties
DOS(E_F), states/eV per atom: 1.91
Formation energy from the elements, eV/atom: 0.053
Calculated total energy, eV/cell: -57.2

=====

No. 18
Density functional theory data (PBE) for an optimized crystal structure of Li2Pr2Al5Cu.

Cell lengths 9.5058, 9.5058, 4.2253 Å; angles 90.00, 90.00, 90.00 degrees
Fractional coordinates of all 20 atoms:
Li 0.1099 0.3901 0.0000
Li 0.3901 0.8901 0.0000
Li 0.6099 0.1099 0.0000
Li 0.8901 0.6099 0.0000
Pr 0.1862 0.6862 0.0000
Pr 0.3138 0.1862 0.0000
Pr 0.6862 0.8138 0.0000
Pr 0.8138 0.3138 0.0000
Al 0.0000 0.5000 0.5000
Al 0.0493 0.1968 0.5000
Al 0.1968 0.9507 0.5000
Al 0.3032 0.4507 0.5000
Al 0.4507 0.6968 0.5000
Al 0.5000 0.0000 0.5000
Al 0.5493 0.3032 0.5000
Al 0.6968 0.5493 0.5000
Al 0.8032 0.0493 0.5000
Al 0.9507 0.8032 0.5000
Cu 0.0000 0.0000 0.0000
Cu 0.5000 0.5000 0.0000

Properties
DOS(E_F), states/eV per atom: 0.41
Formation energy from the elements, eV/atom: -0.244
Calculated total energy, eV/cell: -77.3

=====

No. 19
Density functional theory data (PBE) for an optimized crystal structure of CdHRh3.

Cell lengths 5.1102, 5.1102, 5.1102 Å; angles 89.58, 89.58, 89.58 degrees
Fractional coordinates of all 10 atoms:
Cd 0.0000 0.0000 0.0000
Cd 0.5000 0.5000 0.5000
H 0.2500 0.2500 0.2500
H 0.7500 0.7500 0.7500
Rh 0.0049 0.7500 0.4951
Rh 0.2500 0.5049 0.9951
Rh 0.4951 0.0049 0.7500
Rh 0.5049 0.9951 0.2500
Rh 0.7500 0.4951 0.0049
Rh 0.9951 0.2500 0.5049

Properties
DOS(E_F), states/eV per atom: 1.09
Calculated total energy, eV/cell: -50.4
Excess energy over the best structure of this formula in the dataset, meV/atom: 244

=====

No. 20
Density functional theory data (PBE) for an optimized crystal structure of TlP2SeF.

Cell lengths 5.1450, 5.1450, 4.3441 Å; angles 90.00, 90.00, 90.00 degrees
Fractional coordinates of all 5 atoms:
Tl 0.0000 0.0000 0.0000
P 0.0000 0.5000 0.0000
P 0.5000 0.0000 0.0000
Se 0.5000 0.5000 0.5000
F 0.0000 0.0000 0.5000

Properties
ΔE_f (raw), eV per formula unit: 2.54
DOS(E_F), states/eV per atom: 0.75
Calculated total energy, eV/cell: -16.0